! HoVPb2O6 PBE with a Hubbard U optimized geometry; values from VASP
&SYSTEM
  ibrav = 0, nat = 20, ntyp = 4
/
ATOMIC_SPECIES
Ho 164.93 Ho.upf
V 50.94 V.upf
Pb 207.20 Pb.upf
O 16.00 O.upf
CELL_PARAMETERS angstrom
5.896 0.000 0.000
0.000 5.781 0.000
-5.604 0.000 8.099
ATOMIC_POSITIONS angstrom
Ho 0.000 0.000 0.000
Ho -2.802 2.890 4.049
V 0.146 0.000 4.049
V 2.948 2.890 0.000
Pb -2.587 0.016 6.116
Pb 0.215 2.875 2.067
Pb 0.077 2.906 6.032
Pb 2.879 5.765 1.983
O -0.325 0.008 2.225
O -3.127 2.883 6.274
O 1.602 4.239 0.366
O -1.200 4.432 4.416
O -1.169 1.381 4.415
O 1.633 1.509 0.366
O -1.341 4.271 7.733
O 1.461 4.400 3.684
O 1.492 1.349 3.683
O -1.310 1.541 7.732
O 3.419 2.898 1.824
O 0.617 5.773 5.874
! total energy = -137.98 eV for the cell shown
! theoretical density = 8.738 Mg/m³
! space-group type = P2_1/c (14)